# 1
An optimized crystal structure of PuGe2PdRu. Source: Alexandria, functional PBE.

Unit cell a=6.080 b=6.080 c=6.080 alpha=140.12 beta=140.12 gamma=57.66
Fractional positions:
Pu  0.000  0.000  0.000
Ge  0.379  0.379  0.000
Ge  0.621  0.621  0.000
Pd  0.750  0.250  0.500
Ru  0.250  0.750  0.500

---

# 2
An optimized crystal structure of CaLa3Mn. Source: Alexandria, functional PBE.

Unit cell a=5.519 b=5.519 c=5.519 alpha=90.00 beta=90.00 gamma=90.00
Fractional positions:
Ca  0.000  0.000  0.000
La  0.000  0.500  0.500
La  0.500  0.000  0.500
La  0.500  0.500  0.000
Mn  0.500  0.500  0.500

---

# 3
An optimized crystal structure of La9Pm2Pr. Source: Alexandria, functional PBE.

Unit cell a=5.242 b=5.242 c=15.719 alpha=90.00 beta=90.00 gamma=90.00
Fractional positions:
La  0.000  0.000  0.000
La  0.000  0.000  0.334
La  0.000  0.000  0.666
La  0.000  0.500  0.167
La  0.000  0.500  0.500
La  0.000  0.500  0.833
La  0.500  0.000  0.167
La  0.500  0.000  0.500
La  0.500  0.000  0.833
Pm  0.500  0.500  0.334
Pm  0.500  0.500  0.666
Pr  0.500  0.500  0.000

---

| no. | calculated total energy (eV per atom) | ΔE_f (kcal/mol of atoms) |
| --- | --- | --- |
| 1 | -8.128 | -12.01 |
| 2 | -5.052 | 3.21 |
| 3 | -4.882 | 0.08 |